(w)
# ScBPCl2

A relaxed structure of ScBPCl2 (GGA-PBE, the Alexandria database).

abc: 4.8262 4.8262 5.3595
angles: 90.00 90.00 90.00
With the nearest neighbours (Å) after each atom.
Fractional positions:
1 B 0.5000 0.5000 0.5000  4 P 3.41, 8 Cl 3.61
2 P 0.0000 0.0000 0.5000  2 Sc 2.68
3 Sc 0.0000 0.0000 0.0000  4 Cl 2.41, 2 P 2.68
4 Cl 0.0000 0.5000 0.0000  2 Sc 2.41
5 Cl 0.5000 0.0000 0.0000  2 Sc 2.41

Fermi-level density of states	2.5	states/eV per cell
symmetry	P4/mmm



(x)
# ScBPCl2

A relaxed structure of ScBPCl2 (GGA-PBE, the Alexandria database).

abc: 4.2450 4.2450 4.6057
angles: 90.00 90.00 90.00
With the nearest neighbours (Å) after each atom.
Fractional positions:
1 Cl 0.0000 0.5000 0.0000  2 B 2.12
2 Cl 0.5000 0.0000 0.0000  2 B 2.12
3 B 0.0000 0.0000 0.0000  4 Cl 2.12, 2 P 2.30
4 P 0.0000 0.0000 0.5000  2 B 2.30
5 Sc 0.5000 0.5000 0.5000  4 P 3.00, 8 Cl 3.13

Fermi-level density of states	1.7	states/eV per cell
symmetry	P4/mmm



Going by the energies, (x) is most stable and the next is 167 meV per atom up.



(w)
# SiBP2Cl

A relaxed structure of SiBP2Cl (GGA-PBE, the Alexandria database).

abc: 4.2185 4.2185 4.1914
angles: 90.00 90.00 90.00
With the nearest neighbours (Å) after each atom.
Fractional positions:
1 P 0.5000 0.0000 0.0000  2 B 2.11
2 P 0.0000 0.5000 0.0000  2 B 2.11
3 Cl 0.0000 0.0000 0.5000  2 B 2.10
4 B 0.0000 0.0000 0.0000  2 Cl 2.10, 4 P 2.11
5 Si 0.5000 0.5000 0.5000  8 P 2.97, 4 Cl 2.98

Fermi-level density of states	3.6	states/eV per cell
symmetry	P4/mmm



(x)
# SiBP2Cl

A relaxed structure of SiBP2Cl (GGA-PBE, the Alexandria database).

abc: 4.5249 4.5249 4.7228
angles: 90.00 90.00 90.00
With the nearest neighbours (Å) after each atom.
Fractional positions:
1 B 0.5000 0.5000 0.5000  4 Cl 3.20, 8 P 3.27
2 P 0.5000 0.0000 0.0000  2 Si 2.26
3 P 0.0000 0.5000 0.0000  2 Si 2.26
4 Si 0.0000 0.0000 0.0000  4 P 2.26, 2 Cl 2.36
5 Cl 0.0000 0.0000 0.5000  2 Si 2.36

Fermi-level density of states	4.1	states/eV per cell
symmetry	P4/mmm



Going by the energies, (w) is most stable and the next is 440 meV per atom up.



(w)
# SnBP2Cl

A relaxed structure of SnBP2Cl (GGA-PBE, the Alexandria database).

abc: 4.0549 4.0549 5.8443
angles: 90.00 90.00 90.00
With the nearest neighbours (Å) after each atom.
Fractional positions:
1 P 0.0000 0.5000 0.0000  2 B 2.03
2 P 0.5000 0.0000 0.0000  2 B 2.03
3 Sn 0.5000 0.5000 0.5000  4 Cl 2.87
4 Cl 0.0000 0.0000 0.5000  4 Sn 2.87, 2 B 2.92
5 B 0.0000 0.0000 0.0000  4 P 2.03

Fermi-level density of states	1.2	states/eV per cell
symmetry	P4/mmm



(x)
# SnBP2Cl

A relaxed structure of SnBP2Cl (GGA-PBE, the Alexandria database).

abc: 5.1058 5.1058 5.2429
angles: 90.00 90.00 90.00
With the nearest neighbours (Å) after each atom.
Fractional positions:
1 Cl 0.0000 0.0000 0.5000  2 Sn 2.62
2 P 0.0000 0.5000 0.0000  2 Sn 2.55
3 P 0.5000 0.0000 0.0000  2 Sn 2.55
4 B 0.5000 0.5000 0.5000  4 Cl 3.61, 8 P 3.66
5 Sn 0.0000 0.0000 0.0000  4 P 2.55, 2 Cl 2.62

Fermi-level density of states	3.6	states/eV per cell
symmetry	P4/mmm



Going by the energies, (w) is most stable and the next is 1023 meV per atom up.